1.
## Mg7Ag (GGA-PBEsol)

Data for a geometry-optimized Mg7Ag structure.

```
data_Mg7Ag
_cell_length_a 6.205
_cell_length_b 6.205
_cell_length_c 6.205
_cell_angle_alpha 60.00
_cell_angle_beta 60.00
_cell_angle_gamma 60.00
_space_group_name_H-M_alt 'P 1'
_space_group_IT_number 1
_space_group_name_Hall 'P 1'
loop_
_atom_site_label
_atom_site_type_symbol
_atom_site_fract_x
_atom_site_fract_y
_atom_site_fract_z
Mg1 Mg 0.000 0.000 0.000
Mg2 Mg 0.000 0.000 0.500
Mg3 Mg 0.000 0.500 0.000
Mg4 Mg 0.000 0.500 0.500
Mg5 Mg 0.500 0.000 0.000
Mg6 Mg 0.500 0.000 0.500
Mg7 Mg 0.500 0.500 0.000
Ag1 Ag 0.500 0.500 0.500
```

crystal system: cubic
M_tot: 0.00 Bohr magnetons per cell
Fermi-level density of states: 3.57 states/eV/cell
final energy: -1.935 eV/atom


2.
## ScTlSiMo2 (GGA-PBEsol)

Data for a geometry-optimized ScTlSiMo2 structure.

```
data_ScTlSiMo2
_cell_length_a 4.993
_cell_length_b 4.993
_cell_length_c 5.052
_cell_angle_alpha 90.00
_cell_angle_beta 90.00
_cell_angle_gamma 90.00
_space_group_name_H-M_alt 'P 1'
_space_group_IT_number 1
_space_group_name_Hall 'P 1'
loop_
_atom_site_label
_atom_site_type_symbol
_atom_site_fract_x
_atom_site_fract_y
_atom_site_fract_z
Sc1 Sc 0.000 0.000 0.000
Tl1 Tl 0.000 0.000 0.500
Si1 Si 0.500 0.500 0.000
Mo1 Mo 0.000 0.500 0.500
Mo2 Mo 0.500 0.000 0.500
```

formation energy (no corrections): 2090 meV per atom
crystal system: tetragonal
M_tot: 3.42 Bohr magnetons per cell
Fermi-level density of states: 6.79 states/eV/cell


3.
## Sr2NiHg (GGA-PBEsol)

Data for a geometry-optimized Sr2NiHg structure.

```
data_Sr2NiHg
_cell_length_a 4.462
_cell_length_b 6.138
_cell_length_c 6.138
_cell_angle_alpha 42.75
_cell_angle_beta 90.00
_cell_angle_gamma 90.00
_space_group_name_H-M_alt 'P 1'
_space_group_IT_number 1
_space_group_name_Hall 'P 1'
loop_
_atom_site_label
_atom_site_type_symbol
_atom_site_fract_x
_atom_site_fract_y
_atom_site_fract_z
Sr1 Sr 0.000 0.000 0.000
Sr2 Sr 0.500 0.285 0.285
Ni1 Ni 0.500 0.583 0.583
Hg1 Hg 0.000 0.703 0.703
```

crystal system: orthorhombic
M_tot: 0.00 Bohr magnetons per cell
Fermi-level density of states: 2.25 states/eV/cell
final energy: -2.825 eV/atom


4.
## ZrCl3 (GGA-PBEsol)

Data for a geometry-optimized ZrCl3 structure.

```
data_ZrCl3
_cell_length_a 6.462
_cell_length_b 6.462
_cell_length_c 5.966
_cell_angle_alpha 90.00
_cell_angle_beta 90.00
_cell_angle_gamma 120.00
_space_group_name_H-M_alt 'P 1'
_space_group_IT_number 1
_space_group_name_Hall 'P 1'
loop_
_atom_site_label
_atom_site_type_symbol
_atom_site_fract_x
_atom_site_fract_y
_atom_site_fract_z
Zr1 Zr 0.000 0.000 0.000
Zr2 Zr 0.000 0.000 0.500
Cl1 Cl 0.000 0.316 0.250
Cl2 Cl 0.000 0.684 0.750
Cl3 Cl 0.316 0.000 0.250
Cl4 Cl 0.316 0.316 0.750
Cl5 Cl 0.684 0.000 0.750
Cl6 Cl 0.684 0.684 0.250
```

formation energy (no corrections): -1754 meV per atom
crystal system: hexagonal
M_tot: 0.00 Bohr magnetons per cell
Fermi-level density of states: 2.61 states/eV/cell


5.
## MnCdPt2 (GGA-PBEsol)

Data for a geometry-optimized MnCdPt2 structure.

```
data_MnCdPt2
_cell_length_a 4.683
_cell_length_b 4.683
_cell_length_c 2.926
_cell_angle_alpha 90.00
_cell_angle_beta 90.00
_cell_angle_gamma 103.90
_space_group_name_H-M_alt 'P 1'
_space_group_IT_number 1
_space_group_name_Hall 'P 1'
loop_
_atom_site_label
_atom_site_type_symbol
_atom_site_fract_x
_atom_site_fract_y
_atom_site_fract_z
Mn1 Mn 0.000 0.000 0.000
Cd1 Cd 0.500 0.500 0.000
Pt1 Pt 0.000 0.500 0.500
Pt2 Pt 0.500 0.000 0.500
```

crystal system: orthorhombic
M_tot: 4.33 Bohr magnetons per cell
Fermi-level density of states: 1.59 states/eV/cell
final energy: -6.431 eV/atom


6.
## Zr3FeN (GGA-PBEsol)

Data for a geometry-optimized Zr3FeN structure.

```
data_Zr3FeN
_cell_length_a 4.381
_cell_length_b 4.381
_cell_length_c 4.381
_cell_angle_alpha 90.00
_cell_angle_beta 90.00
_cell_angle_gamma 90.00
_space_group_name_H-M_alt 'P 1'
_space_group_IT_number 1
_space_group_name_Hall 'P 1'
loop_
_atom_site_label
_atom_site_type_symbol
_atom_site_fract_x
_atom_site_fract_y
_atom_site_fract_z
Zr1 Zr 0.000 0.000 0.500
Zr2 Zr 0.000 0.500 0.000
Zr3 Zr 0.500 0.000 0.000
Fe1 Fe 0.500 0.500 0.500
N1 N 0.000 0.000 0.000
```

formation energy (no corrections): -681 meV per atom
crystal system: cubic
M_tot: 2.26 Bohr magnetons per cell
Fermi-level density of states: 3.51 states/eV/cell


7.
## SiTeRh2 (GGA-PBEsol)

Data for a geometry-optimized SiTeRh2 structure.

```
data_SiTeRh2
_cell_length_a 8.006
_cell_length_b 8.006
_cell_length_c 8.006
_cell_angle_alpha 22.09
_cell_angle_beta 22.09
_cell_angle_gamma 22.09
_space_group_name_H-M_alt 'P 1'
_space_group_IT_number 1
_space_group_name_Hall 'P 1'
loop_
_atom_site_label
_atom_site_type_symbol
_atom_site_fract_x
_atom_site_fract_y
_atom_site_fract_z
Si1 Si 0.000 0.000 0.000
Te1 Te 0.500 0.500 0.500
Rh1 Rh 0.262 0.262 0.262
Rh2 Rh 0.738 0.738 0.738
```

formation energy (no corrections): -275 meV per atom
crystal system: trigonal
M_tot: 0.00 Bohr magnetons per cell
Fermi-level density of states: 2.24 states/eV/cell


8.
## KMg2Tc (GGA-PBEsol)

Data for a geometry-optimized KMg2Tc structure.

```
data_KMg2Tc
_cell_length_a 5.556
_cell_length_b 5.556
_cell_length_c 5.556
_cell_angle_alpha 134.95
_cell_angle_beta 134.95
_cell_angle_gamma 65.60
_space_group_name_H-M_alt 'P 1'
_space_group_IT_number 1
_space_group_name_Hall 'P 1'
loop_
_atom_site_label
_atom_site_type_symbol
_atom_site_fract_x
_atom_site_fract_y
_atom_site_fract_z
K1 K 0.000 0.000 0.000
Mg1 Mg 0.500 0.500 0.000
Mg2 Mg 0.750 0.250 0.500
Tc1 Tc 0.250 0.750 0.500
```

crystal system: tetragonal
M_tot: 0.00 Bohr magnetons per cell
Fermi-level density of states: 4.10 states/eV/cell
final energy: -2.924 eV/atom


9.
## MgTaBi2 (GGA-PBEsol)

Data for a geometry-optimized MgTaBi2 structure.

```
data_MgTaBi2
_cell_length_a 7.912
_cell_length_b 7.912
_cell_length_c 7.912
_cell_angle_alpha 130.57
_cell_angle_beta 130.57
_cell_angle_gamma 72.49
_space_group_name_H-M_alt 'P 1'
_space_group_IT_number 1
_space_group_name_Hall 'P 1'
loop_
_atom_site_label
_atom_site_type_symbol
_atom_site_fract_x
_atom_site_fract_y
_atom_site_fract_z
Mg1 Mg 0.000 0.000 0.000
Mg2 Mg 0.750 0.250 0.500
Ta1 Ta 0.250 0.750 0.500
Ta2 Ta 0.500 0.500 0.000
Bi1 Bi 0.147 0.625 0.022
Bi2 Bi 0.375 0.397 0.522
Bi3 Bi 0.603 0.125 0.978
Bi4 Bi 0.875 0.853 0.478
```

crystal system: tetragonal
M_tot: 1.94 Bohr magnetons per cell
Fermi-level density of states: 6.70 states/eV/cell
final energy: -4.979 eV/atom


10.
## SiAg2Pt (GGA-PBEsol)

Data for a geometry-optimized SiAg2Pt structure.

```
data_SiAg2Pt
_cell_length_a 3.489
_cell_length_b 3.489
_cell_length_c 5.217
_cell_angle_alpha 90.00
_cell_angle_beta 90.00
_cell_angle_gamma 90.00
_space_group_name_H-M_alt 'P 1'
_space_group_IT_number 1
_space_group_name_Hall 'P 1'
loop_
_atom_site_label
_atom_site_type_symbol
_atom_site_fract_x
_atom_site_fract_y
_atom_site_fract_z
Si1 Si 0.000 0.000 0.000
Ag1 Ag 0.500 0.500 0.248
Ag2 Ag 0.500 0.500 0.752
Pt1 Pt 0.000 0.000 0.500
```

formation energy (no corrections): 84 meV per atom
crystal system: tetragonal
M_tot: 0.00 Bohr magnetons per cell
Fermi-level density of states: 1.30 states/eV/cell


11.
## MnCrCo2 (GGA-PBEsol)

Data for a geometry-optimized MnCrCo2 structure.

```
data_MnCrCo2
_cell_length_a 4.228
_cell_length_b 4.228
_cell_length_c 4.228
_cell_angle_alpha 131.48
_cell_angle_beta 131.48
_cell_angle_gamma 71.06
_space_group_name_H-M_alt 'P 1'
_space_group_IT_number 1
_space_group_name_Hall 'P 1'
loop_
_atom_site_label
_atom_site_type_symbol
_atom_site_fract_x
_atom_site_fract_y
_atom_site_fract_z
Mn1 Mn 0.000 0.000 0.000
Cr1 Cr 0.250 0.750 0.500
Co1 Co 0.500 0.500 0.000
Co2 Co 0.750 0.250 0.500
```

crystal system: tetragonal
M_tot: 0.64 Bohr magnetons per cell
Fermi-level density of states: 4.83 states/eV/cell
final energy: -8.826 eV/atom


12.
## SrCo2Ir (GGA-PBEsol)

Data for a geometry-optimized SrCo2Ir structure.

```
data_SrCo2Ir
_cell_length_a 5.702
_cell_length_b 5.702
_cell_length_c 5.702
_cell_angle_alpha 42.42
_cell_angle_beta 42.42
_cell_angle_gamma 42.42
_space_group_name_H-M_alt 'P 1'
_space_group_IT_number 1
_space_group_name_Hall 'P 1'
loop_
_atom_site_label
_atom_site_type_symbol
_atom_site_fract_x
_atom_site_fract_y
_atom_site_fract_z
Sr1 Sr 0.000 0.000 0.000
Co1 Co 0.186 0.186 0.186
Co2 Co 0.814 0.814 0.814
Ir1 Ir 0.500 0.500 0.500
```

crystal system: trigonal
M_tot: 2.68 Bohr magnetons per cell
Fermi-level density of states: 2.87 states/eV/cell
final energy: -6.734 eV/atom


13.
## RbP2CS (GGA-PBEsol)

Data for a geometry-optimized RbP2CS structure.

```
data_RbP2CS
_cell_length_a 7.191
_cell_length_b 7.191
_cell_length_c 6.184
_cell_angle_alpha 90.00
_cell_angle_beta 90.00
_cell_angle_gamma 90.00
_space_group_name_H-M_alt 'P 1'
_space_group_IT_number 1
_space_group_name_Hall 'P 1'
loop_
_atom_site_label
_atom_site_type_symbol
_atom_site_fract_x
_atom_site_fract_y
_atom_site_fract_z
Rb1 Rb 0.000 0.000 0.000
P1 P 0.000 0.500 0.000
P2 P 0.500 0.000 0.000
C1 C 0.500 0.500 0.500
S1 S 0.000 0.000 0.500
```

formation energy (no corrections): 3256 meV per atom
crystal system: tetragonal
M_tot: 9.23 Bohr magnetons per cell
Fermi-level density of states: 18.48 states/eV/cell


14.
## Li2VO2F2 (GGA-PBEsol)

Data for a geometry-optimized Li2VO2F2 structure.

```
data_Li2VO2F2
_cell_length_a 5.818
_cell_length_b 5.818
_cell_length_c 5.818
_cell_angle_alpha 59.02
_cell_angle_beta 59.02
_cell_angle_gamma 59.02
_space_group_name_H-M_alt 'P 1'
_space_group_IT_number 1
_space_group_name_Hall 'P 1'
loop_
_atom_site_label
_atom_site_type_symbol
_atom_site_fract_x
_atom_site_fract_y
_atom_site_fract_z
Li1 Li 0.000 0.000 0.000
Li2 Li 0.122 0.641 0.641
Li3 Li 0.641 0.122 0.641
Li4 Li 0.641 0.641 0.122
V1 V 0.264 0.264 0.264
V2 V 0.626 0.626 0.626
O1 O 0.379 0.379 0.379
O2 O 0.394 0.394 0.885
O3 O 0.394 0.885 0.394
O4 O 0.885 0.394 0.394
F1 F 0.406 0.868 0.868
F2 F 0.868 0.406 0.868
F3 F 0.868 0.868 0.406
F4 F 0.873 0.873 0.873
```

formation energy (no corrections): -2665 meV per atom
crystal system: trigonal
M_tot: 2.00 Bohr magnetons per cell
Fermi-level density of states: 5.40 states/eV/cell


15.
## Ag3AsS3 (GGA-PBEsol)

Data for a geometry-optimized Ag3AsS3 structure.

```
data_Ag3AsS3
_cell_length_a 6.688
_cell_length_b 6.688
_cell_length_c 16.357
_cell_angle_alpha 108.14
_cell_angle_beta 108.14
_cell_angle_gamma 56.39
_space_group_name_H-M_alt 'P 1'
_space_group_IT_number 1
_space_group_name_Hall 'P 1'
loop_
_atom_site_label
_atom_site_type_symbol
_atom_site_fract_x
_atom_site_fract_y
_atom_site_fract_z
Ag1 Ag 0.015 0.858 0.557
Ag2 Ag 0.076 0.170 0.718
Ag3 Ag 0.142 0.985 0.943
Ag4 Ag 0.170 0.076 0.218
Ag5 Ag 0.309 0.417 0.633
Ag6 Ag 0.417 0.309 0.133
Ag7 Ag 0.583 0.691 0.867
Ag8 Ag 0.691 0.583 0.367
Ag9 Ag 0.830 0.924 0.782
Ag10 Ag 0.858 0.015 0.057
Ag11 Ag 0.924 0.830 0.282
Ag12 Ag 0.985 0.142 0.443
As1 As 0.292 0.425 0.933
As2 As 0.425 0.292 0.433
As3 As 0.575 0.708 0.567
As4 As 0.708 0.575 0.067
S1 S 0.002 0.679 0.134
S2 S 0.045 0.637 0.409
S3 S 0.262 0.582 0.822
S4 S 0.321 0.998 0.366
S5 S 0.363 0.955 0.091
S6 S 0.418 0.738 0.678
S7 S 0.582 0.262 0.322
S8 S 0.637 0.045 0.909
S9 S 0.679 0.002 0.634
S10 S 0.738 0.418 0.178
S11 S 0.955 0.363 0.591
S12 S 0.998 0.321 0.866
```

formation energy (no corrections): -93 meV per atom
crystal system: monoclinic
M_tot: 0.00 Bohr magnetons per cell


16.
## Nb2FeCoSi (GGA-PBEsol)

Data for a geometry-optimized Nb2FeCoSi structure.

```
data_Nb2FeCoSi
_cell_length_a 4.469
_cell_length_b 4.469
_cell_length_c 4.211
_cell_angle_alpha 90.00
_cell_angle_beta 90.00
_cell_angle_gamma 90.00
_space_group_name_H-M_alt 'P 1'
_space_group_IT_number 1
_space_group_name_Hall 'P 1'
loop_
_atom_site_label
_atom_site_type_symbol
_atom_site_fract_x
_atom_site_fract_y
_atom_site_fract_z
Nb1 Nb 0.000 0.500 0.000
Nb2 Nb 0.500 0.000 0.000
Fe1 Fe 0.000 0.000 0.500
Co1 Co 0.000 0.000 0.000
Si1 Si 0.500 0.500 0.500
```

formation energy (no corrections): 747 meV per atom
crystal system: tetragonal
M_tot: 2.39 Bohr magnetons per cell
Fermi-level density of states: 4.30 states/eV/cell


17.
## CaLaCd2 (GGA-PBEsol)

Data for a geometry-optimized CaLaCd2 structure.

```
data_CaLaCd2
_cell_length_a 10.339
_cell_length_b 10.339
_cell_length_c 10.339
_cell_angle_alpha 20.32
_cell_angle_beta 20.32
_cell_angle_gamma 20.32
_space_group_name_H-M_alt 'P 1'
_space_group_IT_number 1
_space_group_name_Hall 'P 1'
loop_
_atom_site_label
_atom_site_type_symbol
_atom_site_fract_x
_atom_site_fract_y
_atom_site_fract_z
Ca1 Ca 0.000 0.000 0.000
La1 La 0.500 0.500 0.500
Cd1 Cd 0.252 0.252 0.252
Cd2 Cd 0.748 0.748 0.748
```

crystal system: trigonal
M_tot: 0.00 Bohr magnetons per cell
Fermi-level density of states: 3.62 states/eV/cell
final energy: -2.584 eV/atom


18.
## Zn2OsPb (GGA-PBEsol)

Data for a geometry-optimized Zn2OsPb structure.

```
data_Zn2OsPb
_cell_length_a 9.194
_cell_length_b 9.194
_cell_length_c 9.194
_cell_angle_alpha 18.84
_cell_angle_beta 18.84
_cell_angle_gamma 18.84
_space_group_name_H-M_alt 'P 1'
_space_group_IT_number 1
_space_group_name_Hall 'P 1'
loop_
_atom_site_label
_atom_site_type_symbol
_atom_site_fract_x
_atom_site_fract_y
_atom_site_fract_z
Zn1 Zn 0.238 0.238 0.238
Zn2 Zn 0.762 0.762 0.762
Os1 Os 0.500 0.500 0.500
Pb1 Pb 0.000 0.000 0.000
```

crystal system: trigonal
M_tot: 0.00 Bohr magnetons per cell
Fermi-level density of states: 2.66 states/eV/cell
final energy: -4.339 eV/atom


19.
## ZnFe2O4 (GGA-PBEsol)

Data for a geometry-optimized ZnFe2O4 structure.

```
data_ZnFe2O4
_cell_length_a 5.837
_cell_length_b 5.837
_cell_length_c 5.837
_cell_angle_alpha 58.34
_cell_angle_beta 58.34
_cell_angle_gamma 58.34
_space_group_name_H-M_alt 'P 1'
_space_group_IT_number 1
_space_group_name_Hall 'P 1'
loop_
_atom_site_label
_atom_site_type_symbol
_atom_site_fract_x
_atom_site_fract_y
_atom_site_fract_z
Zn1 Zn 0.000 0.000 0.000
Zn2 Zn 0.373 0.373 0.373
Fe1 Fe 0.502 0.995 0.995
Fe2 Fe 0.620 0.620 0.620
Fe3 Fe 0.995 0.502 0.995
Fe4 Fe 0.995 0.995 0.502
O1 O 0.217 0.749 0.749
O2 O 0.234 0.234 0.234
O3 O 0.248 0.248 0.785
O4 O 0.248 0.785 0.248
O5 O 0.749 0.217 0.749
O6 O 0.749 0.749 0.217
O7 O 0.756 0.756 0.756
O8 O 0.785 0.248 0.248
```

formation energy (no corrections): -1258 meV per atom
crystal system: trigonal
M_tot: 8.00 Bohr magnetons per cell
Fermi-level density of states: 11.33 states/eV/cell


20.
## Mg4CuAs (GGA-PBEsol)

Data for a geometry-optimized Mg4CuAs structure.

```
data_Mg4CuAs
_cell_length_a 5.550
_cell_length_b 5.550
_cell_length_c 5.550
_cell_angle_alpha 60.00
_cell_angle_beta 60.00
_cell_angle_gamma 60.00
_space_group_name_H-M_alt 'P 1'
_space_group_IT_number 1
_space_group_name_Hall 'P 1'
loop_
_atom_site_label
_atom_site_type_symbol
_atom_site_fract_x
_atom_site_fract_y
_atom_site_fract_z
Mg1 Mg 0.125 0.125 0.125
Mg2 Mg 0.125 0.125 0.626
Mg3 Mg 0.125 0.626 0.125
Mg4 Mg 0.626 0.125 0.125
Cu1 Cu 0.500 0.500 0.500
As1 As 0.750 0.750 0.750
```

crystal system: cubic
M_tot: 0.00 Bohr magnetons per cell
Fermi-level density of states: 2.49 states/eV/cell
final energy: -2.410 eV/atom